(1)
LiNiAgMo after structural relaxation. Source: OQMD via LeMat-Bulk, functional PBE-GGA.

Computed properties:
Density, g/cm³: 7.839
Symmetry: F-43m (216)
Total magnetization, μB/f.u.: 0.00
Total energy, eV per atom: -4.88
Offset from the most stable computed form, meV/atom: 94

abc: 6.1117 6.1117 6.1117
angles: 90.00 90.00 90.00
Closest atoms and distances in Å follow each position.
Fractional positions:
Li 0.0000 0.0000 0.0000  4 Ni 2.65, 4 Ag 2.65
Li 0.0000 0.5000 0.5000  4 Ni 2.65, 4 Ag 2.65
Li 0.5000 0.0000 0.5000  4 Ni 2.65, 4 Ag 2.65
Li 0.5000 0.5000 0.0000  4 Ni 2.65, 4 Ag 2.65
Ni 0.2500 0.2500 0.2500  4 Mo 2.65, 4 Li 2.65
Ni 0.2500 0.7500 0.7500  4 Mo 2.65, 4 Li 2.65
Ni 0.7500 0.2500 0.7500  4 Mo 2.65, 4 Li 2.65
Ni 0.7500 0.7500 0.2500  4 Mo 2.65, 4 Li 2.65
Ag 0.2500 0.2500 0.7500  4 Mo 2.65, 4 Li 2.65
Ag 0.2500 0.7500 0.2500  4 Mo 2.65, 4 Li 2.65
Ag 0.7500 0.2500 0.2500  4 Mo 2.65, 4 Li 2.65
Ag 0.7500 0.7500 0.7500  4 Mo 2.65, 4 Li 2.65
Mo 0.0000 0.0000 0.5000  4 Ag 2.65, 4 Ni 2.65
Mo 0.0000 0.5000 0.0000  4 Ag 2.65, 4 Ni 2.65
Mo 0.5000 0.0000 0.0000  4 Ag 2.65, 4 Ni 2.65
Mo 0.5000 0.5000 0.5000  4 Ag 2.65, 4 Ni 2.65


(2)
ScNbAg2 after structural relaxation. Source: OQMD via LeMat-Bulk, functional PBE-GGA.

Computed properties:
Density, g/cm³: 7.949
Symmetry: F-43m (216)
Total magnetization, μB/f.u.: 2.06
Total energy, eV per atom: -5.24

abc: 6.6606 6.6606 6.6606
angles: 90.00 90.00 90.00
Closest atoms and distances in Å follow each position.
Fractional positions:
Sc 0.0000 0.0000 0.0000  4 Ag 2.88, 4 Nb 2.88
Sc 0.0000 0.5000 0.5000  4 Ag 2.88, 4 Nb 2.88
Sc 0.5000 0.0000 0.5000  4 Ag 2.88, 4 Nb 2.88
Sc 0.5000 0.5000 0.0000  4 Ag 2.88, 4 Nb 2.88
Nb 0.2500 0.2500 0.2500  4 Sc 2.88, 4 Ag 2.88
Nb 0.2500 0.7500 0.7500  4 Sc 2.88, 4 Ag 2.88
Nb 0.7500 0.2500 0.7500  4 Sc 2.88, 4 Ag 2.88
Nb 0.7500 0.7500 0.2500  4 Sc 2.88, 4 Ag 2.88
Ag 0.0000 0.0000 0.5000  4 Nb 2.88, 4 Ag 2.88
Ag 0.0000 0.5000 0.0000  4 Nb 2.88, 4 Ag 2.88
Ag 0.2500 0.2500 0.7500  4 Sc 2.88, 4 Ag 2.88
Ag 0.2500 0.7500 0.2500  4 Sc 2.88, 4 Ag 2.88
Ag 0.5000 0.0000 0.0000  4 Nb 2.88, 4 Ag 2.88
Ag 0.5000 0.5000 0.5000  4 Nb 2.88, 4 Ag 2.88
Ag 0.7500 0.2500 0.2500  4 Sc 2.88, 4 Ag 2.88
Ag 0.7500 0.7500 0.7500  4 Sc 2.88, 4 Ag 2.88